Tb2Ho2TmSc: relaxed, GGA-PBE.

Properties
Space group: Pnnm, No. 58
Density, Mg/m³: 7.75
DFT formation energy, eV/atom: 0.28
Calculated total energy, eV per atom: -4.590

a = 3.3062 Å, b = 6.4825 Å, c = 17.2287 Å
α = 90.00°, β = 90.00°, γ = 90.00°
Positions (direct):
Ho1 0.0000 0.7440 0.8539
Ho2 0.5000 0.7560 0.3539
Ho3 0.0000 0.2560 0.1461
Ho4 0.5000 0.2440 0.6461
Sc1 0.0000 0.0000 0.0000
Sc2 0.5000 0.5000 0.5000
Tm1 0.5000 0.5000 0.0000
Tm2 0.0000 0.0000 0.5000
Tb1 0.5000 0.7468 0.6798
Tb2 0.0000 0.7532 0.1798
Tb3 0.0000 0.2468 0.8202
Tb4 0.5000 0.2532 0.3202